Record 1
AlCuHg2 | PBE-GGA | optimized geometry

Size of the total moment   0.0 Bohr magnetons per cell
Density   10.19 g/cm3
Formation enthalpy at 0 K   234.2 meV/atom

The structure in CIF format:
```
data_AlCuHg2
_chemical_formula_sum 'Al1 Cu1 Hg2'
_symmetry_space_group_name_H-M 'P 1 2/m 1'
_symmetry_Int_Tables_number 10
_cell_length_a 3.289
_cell_length_b 4.857
_cell_length_c 5.069
_cell_angle_alpha 90.00
_cell_angle_beta 98.34
_cell_angle_gamma 90.00
loop_
_symmetry_equiv_pos_as_xyz
'x,y,z'
'-x,-y,-z'
'-x,y,-z'
'x,-y,z'
loop_
_atom_site_label
_atom_site_fract_x
_atom_site_fract_y
_atom_site_fract_z
Al1 0.000 0.000 0.000
Cu1 0.500 0.000 0.500
Hg1 0.238 0.500 0.257
```



Record 2
Pm2TlTe6Pb3 | PBE-GGA | optimized geometry

Size of the total moment   0.0 Bohr magnetons per cell
Raw formation energy   -0.7344 eV per atom
Density   7.46 g/cm3

The structure in CIF format:
```
data_Pm2TlTe6Pb3
_chemical_formula_sum 'Pm4 Tl2 Te12 Pb6'
_symmetry_space_group_name_H-M 'C 1 2/m 1'
_symmetry_Int_Tables_number 12
_cell_length_a 20.119
_cell_length_b 4.549
_cell_length_c 9.422
_cell_angle_alpha 90.00
_cell_angle_beta 103.74
_cell_angle_gamma 90.00
loop_
_symmetry_equiv_pos_as_xyz
'x,y,z'
'-x,-y,-z'
'-x,y,-z'
'x,-y,z'
'x+1/2,y+1/2,z'
'-x+1/2,-y+1/2,-z'
'-x+1/2,y+1/2,-z'
'x+1/2,-y+1/2,z'
loop_
_atom_site_label
_atom_site_fract_x
_atom_site_fract_y
_atom_site_fract_z
Pm1 0.169 0.000 0.347
Tl1 0.000 0.500 0.000
Te1 0.008 0.000 0.263
Te2 0.169 0.500 0.589
Te3 0.176 0.500 0.108
Pb1 0.000 0.500 0.500
Pb2 0.158 0.000 0.849
```



Record 3
LiNdHgIr | PBE-GGA | optimized geometry

Size of the total moment   0.0 Bohr magnetons per cell
Density   11.12 g/cm3
Formation enthalpy at 0 K   -294.7 meV/atom

The structure in CIF format:
```
data_LiNdHgIr
_chemical_formula_sum 'Li4 Nd4 Hg4 Ir4'
_symmetry_space_group_name_H-M 'F -4 3 m'
_symmetry_Int_Tables_number 216
_symmetry_space_group_name_Hall 'F -4 2 3'
_cell_length_a 6.875
_cell_length_b 6.875
_cell_length_c 6.875
_cell_angle_alpha 90.00
_cell_angle_beta 90.00
_cell_angle_gamma 90.00
loop_
_atom_site_label
_atom_site_fract_x
_atom_site_fract_y
_atom_site_fract_z
Li1 0.000 0.000 0.000
Nd1 0.250 0.250 0.250
Hg1 0.250 0.250 0.750
Ir1 0.000 0.000 0.500
```